TbDy2Ho | PBE-GGA | optimized geometry

space group	Pmmn
excess energy over the best structure of this formula in the dataset	0.000	eV per atom
formation energy	0.01	eV/atom

a = 5.607 Å, b = 12.515 Å, c = 7.239 Å
α = 90.00°, β = 90.00°, γ = 90.00°
Element x y z (fractional)
1 Tb 0.943 0.667 0.250
2 Tb 0.443 0.333 0.750
3 Tb 0.443 0.833 0.750
4 Tb 0.943 0.167 0.250
5 Dy 0.443 0.083 0.000
6 Dy 0.443 0.583 0.500
7 Dy 0.943 0.917 0.000
8 Dy 0.943 0.417 0.500
9 Dy 0.943 0.417 0.000
10 Dy 0.443 0.583 0.000
11 Dy 0.443 0.083 0.500
12 Dy 0.943 0.917 0.500
13 Ho 0.943 0.667 0.750
14 Ho 0.443 0.833 0.250
15 Ho 0.943 0.167 0.750
16 Ho 0.443 0.333 0.250